Entry 1:
The following is a DFT calculation (PBE) of a geometry-optimized MoPtW2 structure.

Values from the calculation:
Calculated formation energy   0.051 eV per atom
Calculated total energy   -10.64 eV per atom
Energy relative to the lowest polymorph listed for this composition   0.102 eV per atom

Cell: 2.7107 2.7107 8.7072 Å, 90.00 90.00 90.00°
Fractional coordinates of all 4 atoms:
W  0.0000  0.0000  0.9903
Mo  0.5000  0.5000  0.2500
Pt  0.5000  0.5000  0.7500
W  0.0000  0.0000  0.5097

=====

Entry 2:
The following is a DFT calculation (PBE) of a geometry-optimized Mo2PtW structure.

Values from the calculation:
Calculated formation energy   0.135 eV per atom
Calculated total energy   -10.03 eV per atom

Cell: 9.7619 9.7619 9.7619 Å, 16.29 16.29 16.29°
Fractional coordinates of all 4 atoms:
Mo  0.9979  0.9979  0.9979
Mo  0.5021  0.5021  0.5021
W  0.7500  0.7500  0.7500
Pt  0.2500  0.2500  0.2500

=====

Entry 3:
The following is a DFT calculation (PBE) of a geometry-optimized MoPtW2 structure.

Values from the calculation:
Calculated formation energy   0.025 eV per atom
Calculated total energy   -10.67 eV per atom
Energy relative to the lowest polymorph listed for this composition   0.075 eV per atom

Cell: 4.8978 4.8978 5.0169 Å, 82.24 82.24 32.28°
Fractional coordinates of all 4 atoms:
Mo  0.7500  0.7500  0.7500
W  0.5065  0.5065  0.4957
W  0.9935  0.9935  0.0043
Pt  0.2500  0.2500  0.2500